Pr5Eu | PBE | optimized geometry

- Size of the total moment: 7.47 μB per formula unit
- E_form: 0.77 kcal/mol of atoms
- Fermi-level density of states: 9.43 states/eV/f.u.
- Symmetry: Cmmm, No. 65

a b c (Å): 8.3338 8.3338 5.3023
angles (deg): 90.00 90.00 143.03
With the nearest neighbours (Å) after each atom.
Atoms (fractional coordinates):
Pr  0.0000  0.0000  0.0000  4 Eu 3.74, 8 Pr 3.77
Pr  0.1696  0.8304  0.5000  10 Pr 3.67-3.77, 2 Eu 3.76
Pr  0.3300  0.6700  0.0000  10 Pr 3.66-3.77, 2 Eu 3.77
Pr  0.6700  0.3300  0.0000  10 Pr 3.66-3.77, 2 Eu 3.77
Pr  0.8304  0.1696  0.5000  10 Pr 3.67-3.77, 2 Eu 3.76
Eu  0.5000  0.5000  0.5000  12 Pr 3.74-3.77